# NpUAl6 | Alexandria via LeMat-Bulk | GGA-PBE | relaxed
# - theoretical density (g/cm3) = 6.904
# - crystal system = orthorhombic
# - energy of formation (meV per atom) = -101
# - total magnetic moment (μB per formula unit) = 6.41
# - volume (A^3/atom) = 19.15
data_NpUAl6
_chemical_formula_sum 'Np2 U2 Al12'
_cell_length_a 4.6489
_cell_length_b 6.3400
_cell_length_c 10.3949
_cell_angle_alpha 90.00
_cell_angle_beta 90.00
_cell_angle_gamma 90.00
_space_group_name_H-M_alt 'A m m 2'
_space_group_IT_number 38
loop_
_space_group_symop_operation_xyz
'x,y,z'
'-x,-y,z'
'-x,y,z'
'x,-y,z'
'x,y+1/2,z+1/2'
'-x,-y+1/2,z+1/2'
'-x,y+1/2,z+1/2'
'x,-y+1/2,z+1/2'
loop_
_atom_site_label
_atom_site_fract_x
_atom_site_fract_y
_atom_site_fract_z
Np1 0.0000 0.0000 0.0000
U1 0.5000 0.0000 0.6940
Al1 0.0000 0.0000 0.5064
Al2 0.0000 0.2167 0.2657
Al3 0.5000 0.0000 0.1874
Al4 0.5000 0.2176 0.4290

=====

# Ac2Pm2Y15 | Alexandria via LeMat-Bulk | GGA-PBE | relaxed
# - theoretical density (g/cm3) = 5.138
# - crystal system = trigonal
# - energy of formation (meV per atom) = 283
# - total magnetic moment (μB per formula unit) = 0.00
# - volume (A^3/atom) = 35.34
data_Ac2Pm2Y15
_chemical_formula_sum 'Ac6 Pm6 Y45'
_cell_length_a 11.4504
_cell_length_b 11.4504
_cell_length_c 17.7415
_cell_angle_alpha 90.00
_cell_angle_beta 90.00
_cell_angle_gamma 120.00
_space_group_name_H-M_alt 'R -3 m'
_space_group_IT_number 166
_space_group_name_Hall '-R 3 2"'
loop_
_atom_site_label
_atom_site_fract_x
_atom_site_fract_y
_atom_site_fract_z
Ac1 0.0000 0.0000 0.1129
Pm1 0.0000 0.0000 0.3316
Y1 0.0000 0.3063 0.0000
Y2 0.0000 0.5000 0.5000
Y3 0.0165 0.5083 0.1390

=====

Please write out number 2 again, unchanged.
# Ac2Pm2Y15 | Alexandria via LeMat-Bulk | GGA-PBE | relaxed
# - theoretical density (g/cm3) = 5.138
# - crystal system = trigonal
# - energy of formation (meV per atom) = 283
# - total magnetic moment (μB per formula unit) = 0.00
# - volume (A^3/atom) = 35.34
data_Ac2Pm2Y15
_chemical_formula_sum 'Ac6 Pm6 Y45'
_cell_length_a 11.4504
_cell_length_b 11.4504
_cell_length_c 17.7415
_cell_angle_alpha 90.00
_cell_angle_beta 90.00
_cell_angle_gamma 120.00
_space_group_name_H-M_alt 'R -3 m'
_space_group_IT_number 166
_space_group_name_Hall '-R 3 2"'
loop_
_atom_site_label
_atom_site_fract_x
_atom_site_fract_y
_atom_site_fract_z
Ac1 0.0000 0.0000 0.1129
Pm1 0.0000 0.0000 0.3316
Y1 0.0000 0.3063 0.0000
Y2 0.0000 0.5000 0.5000
Y3 0.0165 0.5083 0.1390

=====

Q: What is the formula in the second record?
A: Ac2Pm2Y15

=====

Please write out number 1 again, unchanged.
# NpUAl6 | Alexandria via LeMat-Bulk | GGA-PBE | relaxed
# - theoretical density (g/cm3) = 6.904
# - crystal system = orthorhombic
# - energy of formation (meV per atom) = -101
# - total magnetic moment (μB per formula unit) = 6.41
# - volume (A^3/atom) = 19.15
data_NpUAl6
_chemical_formula_sum 'Np2 U2 Al12'
_cell_length_a 4.6489
_cell_length_b 6.3400
_cell_length_c 10.3949
_cell_angle_alpha 90.00
_cell_angle_beta 90.00
_cell_angle_gamma 90.00
_space_group_name_H-M_alt 'A m m 2'
_space_group_IT_number 38
loop_
_space_group_symop_operation_xyz
'x,y,z'
'-x,-y,z'
'-x,y,z'
'x,-y,z'
'x,y+1/2,z+1/2'
'-x,-y+1/2,z+1/2'
'-x,y+1/2,z+1/2'
'x,-y+1/2,z+1/2'
loop_
_atom_site_label
_atom_site_fract_x
_atom_site_fract_y
_atom_site_fract_z
Np1 0.0000 0.0000 0.0000
U1 0.5000 0.0000 0.6940
Al1 0.0000 0.0000 0.5064
Al2 0.0000 0.2167 0.2657
Al3 0.5000 0.0000 0.1874
Al4 0.5000 0.2176 0.4290

=====

Q: What is the formula in the first record?
A: NpUAl6